Record 1
# KAlAs2 (PBE, optimized geometry)
data_KAlAs2
_cell_length_a 3.731
_cell_length_b 3.731
_cell_length_c 7.391
_cell_angle_alpha 90.00
_cell_angle_beta 90.00
_cell_angle_gamma 90.00
_space_group_name_H-M_alt 'P 1'
_space_group_IT_number 1
loop_
_space_group_symop_operation_xyz
'x,y,z'
loop_
_atom_site_label
_atom_site_fract_x
_atom_site_fract_y
_atom_site_fract_z
_atom_site_occupancy
As1 0.000 0.000 0.028 1
As2 0.500 0.500 0.158 1
K1 0.000 0.000 0.490 1
Al1 0.500 0.500 0.824 1
# DFT formation energy: -0.01 eV per atom
# mass density: 3.5 g/cm3



Record 2
# KAlAs2 (PBE, optimized geometry)
data_KAlAs2
_cell_length_a 5.601
_cell_length_b 5.601
_cell_length_c 5.601
_cell_angle_alpha 133.95
_cell_angle_beta 133.95
_cell_angle_gamma 67.17
_space_group_name_H-M_alt 'P 1'
_space_group_IT_number 1
loop_
_space_group_symop_operation_xyz
'x,y,z'
loop_
_atom_site_label
_atom_site_fract_x
_atom_site_fract_y
_atom_site_fract_z
_atom_site_occupancy
As1 0.000 0.000 0.000 1
As2 0.250 0.750 0.500 1
K1 0.500 0.500 0.000 1
Al1 0.750 0.250 0.500 1
# DFT formation energy: 0.28 eV per atom
# mass density: 4.0 g/cm3



Record 3
# KAl2As (PBE, optimized geometry)
data_KAl2As
_cell_length_a 4.374
_cell_length_b 4.386
_cell_length_c 4.695
_cell_angle_alpha 90.00
_cell_angle_beta 90.00
_cell_angle_gamma 90.00
_space_group_name_H-M_alt 'P 1'
_space_group_IT_number 1
loop_
_space_group_symop_operation_xyz
'x,y,z'
loop_
_atom_site_label
_atom_site_fract_x
_atom_site_fract_y
_atom_site_fract_z
_atom_site_occupancy
As1 0.500 0.000 0.500 1
K1 0.000 0.500 0.500 1
Al1 0.000 0.000 0.000 1
Al2 0.500 0.500 0.000 1
# DFT formation energy: 0.26 eV per atom
# mass density: 3.1 g/cm3



Record 4
# KAlAs2 (PBE, optimized geometry)
data_KAlAs2
_cell_length_a 5.104
_cell_length_b 5.104
_cell_length_c 5.104
_cell_angle_alpha 60.00
_cell_angle_beta 60.00
_cell_angle_gamma 60.00
_space_group_name_H-M_alt 'P 1'
_space_group_IT_number 1
loop_
_space_group_symop_operation_xyz
'x,y,z'
loop_
_atom_site_label
_atom_site_fract_x
_atom_site_fract_y
_atom_site_fract_z
_atom_site_occupancy
As1 0.000 0.000 0.000 1
As2 0.250 0.250 0.250 1
K1 0.750 0.750 0.750 1
Al1 0.500 0.500 0.500 1
# DFT formation energy: 0.37 eV per atom
# mass density: 3.8 g/cm3



Record 5
# K3Al2As3 (PBE, optimized geometry)
data_K3Al2As3
_cell_length_a 6.123
_cell_length_b 7.626
_cell_length_c 10.619
_cell_angle_alpha 69.48
_cell_angle_beta 90.00
_cell_angle_gamma 90.00
_space_group_name_H-M_alt 'P 1'
_space_group_IT_number 1
loop_
_space_group_symop_operation_xyz
'x,y,z'
loop_
_atom_site_label
_atom_site_fract_x
_atom_site_fract_y
_atom_site_fract_z
_atom_site_occupancy
Al1 0.000 0.964 0.658 1
Al2 0.500 0.036 0.342 1
Al3 0.000 0.036 0.342 1
Al4 0.500 0.964 0.658 1
As1 0.750 0.812 0.526 1
As2 0.250 0.188 0.474 1
As3 0.750 0.265 0.185 1
As4 0.250 0.735 0.815 1
As5 0.750 0.137 0.755 1
As6 0.250 0.863 0.245 1
K1 0.750 0.424 0.436 1
K2 0.250 0.576 0.564 1
K3 0.750 0.518 0.851 1
K4 0.250 0.482 0.149 1
K5 0.750 0.873 0.088 1
K6 0.250 0.127 0.912 1
# DFT formation energy: -0.58 eV per atom
# offset from the most stable computed form: 0.00 kJ/mol of atoms
# mass density: 2.8 g/cm3



Record 6
# KAl2As (PBE, optimized geometry)
data_KAl2As
_cell_length_a 4.516
_cell_length_b 3.072
_cell_length_c 7.273
_cell_angle_alpha 79.61
_cell_angle_beta 90.00
_cell_angle_gamma 90.00
_space_group_name_H-M_alt 'P 1'
_space_group_IT_number 1
loop_
_space_group_symop_operation_xyz
'x,y,z'
loop_
_atom_site_label
_atom_site_fract_x
_atom_site_fract_y
_atom_site_fract_z
_atom_site_occupancy
As1 0.500 0.250 0.250 1
K1 0.500 0.750 0.750 1
Al1 0.000 0.085 0.077 1
Al2 0.000 0.415 0.423 1
# DFT formation energy: 0.11 eV per atom
# mass density: 2.8 g/cm3



Record 7
# KAlAs2 (PBE, optimized geometry)
data_KAlAs2
_cell_length_a 3.674
_cell_length_b 4.021
_cell_length_c 7.481
_cell_angle_alpha 66.48
_cell_angle_beta 90.00
_cell_angle_gamma 90.00
_space_group_name_H-M_alt 'P 1'
_space_group_IT_number 1
loop_
_space_group_symop_operation_xyz
'x,y,z'
loop_
_atom_site_label
_atom_site_fract_x
_atom_site_fract_y
_atom_site_fract_z
_atom_site_occupancy
As1 0.000 0.003 0.914 1
As2 0.000 0.497 0.586 1
K1 0.500 0.250 0.250 1
Al1 0.500 0.750 0.750 1
# DFT formation energy: -0.19 eV per atom
# mass density: 3.5 g/cm3



Record 8
# KAlAs2 (PBE, optimized geometry)
data_KAlAs2
_cell_length_a 3.032
_cell_length_b 4.603
_cell_length_c 7.074
_cell_angle_alpha 90.00
_cell_angle_beta 90.00
_cell_angle_gamma 90.00
_space_group_name_H-M_alt 'P 1'
_space_group_IT_number 1
loop_
_space_group_symop_operation_xyz
'x,y,z'
loop_
_atom_site_label
_atom_site_fract_x
_atom_site_fract_y
_atom_site_fract_z
_atom_site_occupancy
As1 0.000 0.000 0.949 1
As2 0.500 0.500 0.210 1
K1 0.000 0.000 0.476 1
Al1 0.500 0.500 0.865 1
# DFT formation energy: 0.10 eV per atom
# mass density: 3.6 g/cm3



Record 9
# K3AlAs (PBE, optimized geometry)
data_K3AlAs
_cell_length_a 6.374
_cell_length_b 6.374
_cell_length_c 6.374
_cell_angle_alpha 90.00
_cell_angle_beta 90.00
_cell_angle_gamma 90.00
_space_group_name_H-M_alt 'P 1'
_space_group_IT_number 1
loop_
_space_group_symop_operation_xyz
'x,y,z'
loop_
_atom_site_label
_atom_site_fract_x
_atom_site_fract_y
_atom_site_fract_z
_atom_site_occupancy
As1 0.000 0.000 0.000 1
K1 0.000 0.500 0.000 1
K2 0.000 0.000 0.500 1
K3 0.500 0.000 0.000 1
Al1 0.500 0.500 0.500 1
# DFT formation energy: 0.29 eV per atom
# offset from the most stable computed form: 0.00 kJ/mol of atoms
# mass density: 1.4 g/cm3



Record 10
# KAl2As (PBE, optimized geometry)
data_KAl2As
_cell_length_a 8.867
_cell_length_b 8.867
_cell_length_c 8.867
_cell_angle_alpha 25.48
_cell_angle_beta 25.48
_cell_angle_gamma 25.48
_space_group_name_H-M_alt 'P 1'
_space_group_IT_number 1
loop_
_space_group_symop_operation_xyz
'x,y,z'
loop_
_atom_site_label
_atom_site_fract_x
_atom_site_fract_y
_atom_site_fract_z
_atom_site_occupancy
As1 0.250 0.250 0.250 1
K1 0.750 0.750 0.750 1
Al1 0.972 0.972 0.972 1
Al2 0.528 0.528 0.528 1
# DFT formation energy: 0.04 eV per atom
# mass density: 2.5 g/cm3



Record 11
# KAlAs2 (PBE, optimized geometry)
data_KAlAs2
_cell_length_a 4.416
_cell_length_b 4.416
_cell_length_c 6.880
_cell_angle_alpha 82.96
_cell_angle_beta 82.96
_cell_angle_gamma 55.12
_space_group_name_H-M_alt 'P 1'
_space_group_IT_number 1
loop_
_space_group_symop_operation_xyz
'x,y,z'
loop_
_atom_site_label
_atom_site_fract_x
_atom_site_fract_y
_atom_site_fract_z
_atom_site_occupancy
As1 0.911 0.911 0.163 1
As2 0.819 0.819 0.821 1
K1 0.545 0.545 0.495 1
Al1 0.225 0.225 0.020 1
# DFT formation energy: -0.29 eV per atom
# mass density: 3.3 g/cm3



Record 12
# KAl2As (PBE, optimized geometry)
data_KAl2As
_cell_length_a 5.617
_cell_length_b 6.418
_cell_length_c 2.848
_cell_angle_alpha 77.03
_cell_angle_beta 90.32
_cell_angle_gamma 116.03
_space_group_name_H-M_alt 'P 1'
_space_group_IT_number 1
loop_
_space_group_symop_operation_xyz
'x,y,z'
loop_
_atom_site_label
_atom_site_fract_x
_atom_site_fract_y
_atom_site_fract_z
_atom_site_occupancy
As1 0.000 0.500 0.500 1
K1 0.500 0.500 0.000 1
Al1 0.000 0.000 0.000 1
Al2 0.500 0.000 0.500 1
# DFT formation energy: 0.26 eV per atom
# mass density: 3.1 g/cm3



Record 13
# KAlAs2 (PBE, optimized geometry)
data_KAlAs2
_cell_length_a 5.436
_cell_length_b 5.436
_cell_length_c 5.436
_cell_angle_alpha 129.59
_cell_angle_beta 105.08
_cell_angle_gamma 95.88
_space_group_name_H-M_alt 'P 1'
_space_group_IT_number 1
loop_
_space_group_symop_operation_xyz
'x,y,z'
loop_
_atom_site_label
_atom_site_fract_x
_atom_site_fract_y
_atom_site_fract_z
_atom_site_occupancy
As1 0.080 0.080 0.000 1
As2 0.420 0.420 0.000 1
K1 0.750 0.250 0.500 1
Al1 0.250 0.750 0.500 1
# DFT formation energy: -0.06 eV per atom
# mass density: 3.2 g/cm3



Record 14
# KAl2As (PBE, optimized geometry)
data_KAl2As
_cell_length_a 3.918
_cell_length_b 3.912
_cell_length_c 6.886
_cell_angle_alpha 89.98
_cell_angle_beta 90.00
_cell_angle_gamma 90.00
_space_group_name_H-M_alt 'P 1'
_space_group_IT_number 1
loop_
_space_group_symop_operation_xyz
'x,y,z'
loop_
_atom_site_label
_atom_site_fract_x
_atom_site_fract_y
_atom_site_fract_z
_atom_site_occupancy
As1 0.000 0.375 0.431 1
K1 0.500 0.875 0.721 1
Al1 0.000 0.875 0.174 1
Al2 0.500 0.375 0.175 1
# DFT formation energy: -0.13 eV per atom
# mass density: 2.6 g/cm3



Record 15
# KAl2As (PBE, optimized geometry)
data_KAl2As
_cell_length_a 5.987
_cell_length_b 5.987
_cell_length_c 2.992
_cell_angle_alpha 90.00
_cell_angle_beta 90.00
_cell_angle_gamma 120.38
_space_group_name_H-M_alt 'P 1'
_space_group_IT_number 1
loop_
_space_group_symop_operation_xyz
'x,y,z'
loop_
_atom_site_label
_atom_site_fract_x
_atom_site_fract_y
_atom_site_fract_z
_atom_site_occupancy
As1 0.500 0.000 0.500 1
K1 0.000 0.500 0.500 1
Al1 0.000 0.000 0.000 1
Al2 0.500 0.500 0.000 1
# DFT formation energy: 0.36 eV per atom
# mass density: 3.0 g/cm3



Record 16
# KAl2As (PBE, optimized geometry)
data_KAl2As
_cell_length_a 7.126
_cell_length_b 7.126
_cell_length_c 7.126
_cell_angle_alpha 35.64
_cell_angle_beta 35.64
_cell_angle_gamma 35.64
_space_group_name_H-M_alt 'P 1'
_space_group_IT_number 1
loop_
_space_group_symop_operation_xyz
'x,y,z'
loop_
_atom_site_label
_atom_site_fract_x
_atom_site_fract_y
_atom_site_fract_z
_atom_site_occupancy
As1 0.537 0.537 0.537 1
K1 0.751 0.751 0.751 1
Al1 0.960 0.960 0.960 1
Al2 0.252 0.252 0.252 1
# DFT formation energy: -0.03 eV per atom
# mass density: 2.5 g/cm3



Record 17
# KAl2As (PBE, optimized geometry)
data_KAl2As
_cell_length_a 6.013
_cell_length_b 6.013
_cell_length_c 6.108
_cell_angle_alpha 70.56
_cell_angle_beta 70.56
_cell_angle_gamma 32.76
_space_group_name_H-M_alt 'P 1'
_space_group_IT_number 1
loop_
_space_group_symop_operation_xyz
'x,y,z'
loop_
_atom_site_label
_atom_site_fract_x
_atom_site_fract_y
_atom_site_fract_z
_atom_site_occupancy
As1 0.250 0.250 0.250 1
K1 0.750 0.750 0.750 1
Al1 0.933 0.933 0.157 1
Al2 0.567 0.567 0.343 1
# DFT formation energy: 0.06 eV per atom
# mass density: 2.5 g/cm3



Record 18
# KAl2As (PBE, optimized geometry)
data_KAl2As
_cell_length_a 3.481
_cell_length_b 3.482
_cell_length_c 8.179
_cell_angle_alpha 90.00
_cell_angle_beta 90.00
_cell_angle_gamma 90.00
_space_group_name_H-M_alt 'P 1'
_space_group_IT_number 1
loop_
_space_group_symop_operation_xyz
'x,y,z'
loop_
_atom_site_label
_atom_site_fract_x
_atom_site_fract_y
_atom_site_fract_z
_atom_site_occupancy
As1 0.500 0.500 0.250 1
K1 0.500 0.500 0.750 1
Al1 0.000 0.000 0.080 1
Al2 0.000 0.000 0.420 1
# DFT formation energy: 0.07 eV per atom
# mass density: 2.8 g/cm3



Record 19
# KAlAs2 (PBE, optimized geometry)
data_KAlAs2
_cell_length_a 2.968
_cell_length_b 2.968
_cell_length_c 10.741
_cell_angle_alpha 90.00
_cell_angle_beta 90.00
_cell_angle_gamma 90.04
_space_group_name_H-M_alt 'P 1'
_space_group_IT_number 1
loop_
_space_group_symop_operation_xyz
'x,y,z'
loop_
_atom_site_label
_atom_site_fract_x
_atom_site_fract_y
_atom_site_fract_z
_atom_site_occupancy
As1 0.000 0.000 0.952 1
As2 0.500 0.500 0.259 1
K1 0.000 0.000 0.510 1
Al1 0.500 0.500 0.779 1
# DFT formation energy: 0.26 eV per atom
# mass density: 3.8 g/cm3



Record 20
# KAlAs2 (PBE, optimized geometry)
data_KAlAs2
_cell_length_a 5.749
_cell_length_b 5.749
_cell_length_c 8.610
_cell_angle_alpha 70.50
_cell_angle_beta 70.50
_cell_angle_gamma 90.00
_space_group_name_H-M_alt 'P 1'
_space_group_IT_number 1
loop_
_space_group_symop_operation_xyz
'x,y,z'
loop_
_atom_site_label
_atom_site_fract_x
_atom_site_fract_y
_atom_site_fract_z
_atom_site_occupancy
As1 0.447 0.125 0.250 1
As2 0.303 0.625 0.250 1
As3 0.375 0.553 0.750 1
As4 0.875 0.697 0.750 1
K1 0.000 0.000 0.000 1
K2 0.750 0.250 0.500 1
Al1 0.500 0.500 0.000 1
Al2 0.250 0.750 0.500 1
# DFT formation energy: -0.21 eV per atom
# mass density: 2.9 g/cm3